# YRuBr2, optimized geometry, DFT GGA-PBE
data_YRuBr2
_space_group_name_H-M_alt 'I m m m'
_space_group_IT_number 71
_space_group_name_Hall '-I 2 2'
_cell_length_a 3.8077
_cell_length_b 4.2737
_cell_length_c 14.2955
_cell_angle_alpha 90.00
_cell_angle_beta 90.00
_cell_angle_gamma 90.00
loop_
_atom_site_label
_atom_site_type_symbol
_atom_site_fract_x
_atom_site_fract_y
_atom_site_fract_z
_atom_site_occupancy
Y1 Y 0.0000 0.0000 0.0000 1
Ru1 Ru 0.0000 0.0000 0.5000 1
Br1 Br 0.0000 0.5000 0.1391 1
# Crystal system   orthorhombic
# Energy relative to the elements, uncorrected   -13.037 kcal/mol of atoms
# Energy relative to the lowest polymorph listed for this composition   52 meV per atom